# 1
The following is a meta-GGA SCAN calculation of CoSb3O at its PBEsol-relaxed geometry, from Alexandria.

Summary:
Magnetization   0.390 μB per atom
Formation energy (no corrections)   439 meV per atom

a = 4.5902 Å, b = 4.5902 Å, c = 4.5902 Å
α = 90.00°, β = 90.00°, γ = 90.00°
Fractional positions:
Co 0.0000 0.0000 0.0000
Sb 0.0000 0.5000 0.5000
Sb 0.5000 0.0000 0.5000
Sb 0.5000 0.5000 0.0000
O 0.5000 0.5000 0.5000

---

# 2
The following is a meta-GGA SCAN calculation of Ca2HgC at its PBEsol-relaxed geometry, from Alexandria.

Summary:
DFT formation energy   0.307 eV per atom
Magnetization   0.000 μB per atom

a = 6.8696 Å, b = 6.8696 Å, c = 6.8696 Å
α = 90.00°, β = 90.00°, γ = 90.00°
Fractional positions:
Ca 0.2500 0.2500 0.2500
Ca 0.2500 0.2500 0.7500
Ca 0.2500 0.7500 0.2500
Ca 0.2500 0.7500 0.7500
Ca 0.7500 0.2500 0.2500
Ca 0.7500 0.2500 0.7500
Ca 0.7500 0.7500 0.2500
Ca 0.7500 0.7500 0.7500
Hg 0.0000 0.0000 0.0000
Hg 0.0000 0.5000 0.5000
Hg 0.5000 0.0000 0.5000
Hg 0.5000 0.5000 0.0000
C 0.0000 0.0000 0.5000
C 0.0000 0.5000 0.0000
C 0.5000 0.0000 0.0000
C 0.5000 0.5000 0.5000

---

# 3
The following is a meta-GGA SCAN calculation of CrCuAs2 at its PBEsol-relaxed geometry, from Alexandria.

Summary:
DFT formation energy   0.334 eV per atom
Magnetization   0.886 μB per atom

a = 6.2486 Å, b = 6.2486 Å, c = 6.2486 Å
α = 90.00°, β = 90.00°, γ = 90.00°
Fractional positions:
Cr 0.0000 0.0000 0.0000
Cr 0.0000 0.5000 0.5000
Cr 0.5000 0.0000 0.5000
Cr 0.5000 0.5000 0.0000
Cu 0.2500 0.2500 0.7500
Cu 0.2500 0.7500 0.2500
Cu 0.7500 0.2500 0.2500
Cu 0.7500 0.7500 0.7500
As 0.0000 0.0000 0.5000
As 0.0000 0.5000 0.0000
As 0.2500 0.2500 0.2500
As 0.2500 0.7500 0.7500
As 0.5000 0.0000 0.0000
As 0.5000 0.5000 0.5000
As 0.7500 0.2500 0.7500
As 0.7500 0.7500 0.2500

---

# 4
The following is a meta-GGA SCAN calculation of CsOs3S at its PBEsol-relaxed geometry, from Alexandria.

Summary:
Magnetization   0.000 μB per atom
Formation energy (no corrections)   1964 meV per atom

a = 4.5149 Å, b = 4.5149 Å, c = 4.5149 Å
α = 90.00°, β = 90.00°, γ = 90.00°
Fractional positions:
Cs 0.0000 0.0000 0.0000
Os 0.0000 0.5000 0.5000
Os 0.5000 0.0000 0.5000
Os 0.5000 0.5000 0.0000
S 0.5000 0.5000 0.5000

---

# 5
The following is a meta-GGA SCAN calculation of LiAg5 at its PBEsol-relaxed geometry, from Alexandria.

Summary:
DFT formation energy   -0.083 eV per atom
Magnetization   0.000 μB per atom

a = 4.0053 Å, b = 11.9803 Å, c = 4.0471 Å
α = 90.00°, β = 90.00°, γ = 90.00°
Fractional positions:
Li 0.0000 0.0000 0.0000
Li 0.5000 0.5000 0.0000
Ag 0.0000 0.1653 0.5000
Ag 0.0000 0.3359 0.0000
Ag 0.0000 0.5000 0.5000
Ag 0.0000 0.6641 0.0000
Ag 0.0000 0.8347 0.5000
Ag 0.5000 0.0000 0.5000
Ag 0.5000 0.1641 0.0000
Ag 0.5000 0.3347 0.5000
Ag 0.5000 0.6653 0.5000
Ag 0.5000 0.8359 0.0000

---

# 6
The following is a meta-GGA SCAN calculation of ScRh2 at its PBEsol-relaxed geometry, from Alexandria.

Summary:
DFT formation energy   -0.763 eV per atom
Magnetization   0.000 μB per atom

a = 5.4409 Å, b = 4.0209 Å, c = 8.2760 Å
α = 90.00°, β = 90.00°, γ = 90.00°
Fractional positions:
Sc 0.1550 0.2500 0.1045
Sc 0.3450 0.7500 0.6045
Sc 0.6550 0.2500 0.3955
Sc 0.8450 0.7500 0.8955
Rh 0.0944 0.2500 0.7523
Rh 0.1416 0.2500 0.4261
Rh 0.3584 0.7500 0.9261
Rh 0.4056 0.7500 0.2523
Rh 0.5944 0.2500 0.7477
Rh 0.6416 0.2500 0.0739
Rh 0.8584 0.7500 0.5739
Rh 0.9056 0.7500 0.2477

---

# 7
The following is a meta-GGA SCAN calculation of SrBSe3 at its PBEsol-relaxed geometry, from Alexandria.

Summary:
Magnetization   0.031 μB per atom
Formation energy (no corrections)   -312 meV per atom

a = 4.6437 Å, b = 4.6437 Å, c = 4.6437 Å
α = 90.00°, β = 90.00°, γ = 90.00°
Fractional positions:
Sr 0.0000 0.0000 0.0000
B 0.5000 0.5000 0.5000
Se 0.0000 0.5000 0.5000
Se 0.5000 0.0000 0.5000
Se 0.5000 0.5000 0.0000

---

# 8
The following is a meta-GGA SCAN calculation of LiCd4Mo at its PBEsol-relaxed geometry, from Alexandria.

Summary:
DFT formation energy   0.335 eV per atom
Magnetization   0.673 μB per atom

a = 5.5545 Å, b = 5.5545 Å, c = 5.5545 Å
α = 60.00°, β = 60.00°, γ = 60.00°
Fractional positions:
Li 0.0000 0.0000 0.0000
Cd 0.3751 0.3751 0.3751
Cd 0.3751 0.3751 0.8746
Cd 0.3751 0.8746 0.3751
Cd 0.8746 0.3751 0.3751
Mo 0.7500 0.7500 0.7500

---

# 9
The following is a meta-GGA SCAN calculation of Nd2Au at its PBEsol-relaxed geometry, from Alexandria.

Summary:
DFT formation energy   -0.786 eV per atom
Magnetization   0.000 μB per atom

a = 7.1728 Å, b = 5.0106 Å, c = 9.1826 Å
α = 90.00°, β = 90.00°, γ = 90.00°
Fractional positions:
Nd 0.0058 0.2500 0.1775
Nd 0.1548 0.2500 0.5856
Nd 0.3452 0.7500 0.0856
Nd 0.4942 0.7500 0.6775
Nd 0.5058 0.2500 0.3225
Nd 0.6548 0.2500 0.9144
Nd 0.8452 0.7500 0.4144
Nd 0.9942 0.7500 0.8225
Au 0.2417 0.2500 0.9049
Au 0.2583 0.7500 0.4049
Au 0.7417 0.2500 0.5951
Au 0.7583 0.7500 0.0951

---

# 10
The following is a meta-GGA SCAN calculation of TlHgPt at its PBEsol-relaxed geometry, from Alexandria.

Summary:
DFT formation energy   0.422 eV per atom
Magnetization   0.000 μB per atom

a = 6.4758 Å, b = 6.4758 Å, c = 6.4758 Å
α = 90.00°, β = 90.00°, γ = 90.00°
Fractional positions:
Tl 0.0000 0.0000 0.0000
Tl 0.0000 0.5000 0.5000
Tl 0.5000 0.0000 0.5000
Tl 0.5000 0.5000 0.0000
Hg 0.2500 0.2500 0.2500
Hg 0.2500 0.7500 0.7500
Hg 0.7500 0.2500 0.7500
Hg 0.7500 0.7500 0.2500
Pt 0.2500 0.2500 0.7500
Pt 0.2500 0.7500 0.2500
Pt 0.7500 0.2500 0.2500
Pt 0.7500 0.7500 0.7500

---

# 11
The following is a meta-GGA SCAN calculation of NbAuI2N at its PBEsol-relaxed geometry, from Alexandria.

Summary:
Magnetization   0.702 μB per atom
Formation energy (no corrections)   1182 meV per atom

a = 5.7974 Å, b = 5.7974 Å, c = 3.7025 Å
α = 90.00°, β = 90.00°, γ = 90.00°
Fractional positions:
Nb 0.0000 0.0000 0.0000
Au 0.5000 0.5000 0.5000
I 0.0000 0.5000 0.5000
I 0.5000 0.0000 0.5000
N 0.5000 0.5000 0.0000

---

# 12
The following is a meta-GGA SCAN calculation of CaLa2Hg at its PBEsol-relaxed geometry, from Alexandria.

Summary:
DFT formation energy   -0.309 eV per atom
Magnetization   0.009 μB per atom

a = 4.0258 Å, b = 4.0258 Å, c = 7.8902 Å
α = 90.00°, β = 90.00°, γ = 90.00°
Fractional positions:
Ca 0.0000 0.0000 0.0000
La 0.5000 0.5000 0.2881
La 0.5000 0.5000 0.7119
Hg 0.0000 0.0000 0.5000

---

# 13
The following is a meta-GGA SCAN calculation of YScAl4 at its PBEsol-relaxed geometry, from Alexandria.

Summary:
DFT formation energy   -0.527 eV per atom
Magnetization   0.006 μB per atom

a = 5.4245 Å, b = 5.4245 Å, c = 5.4245 Å
α = 60.00°, β = 60.00°, γ = 60.00°
Fractional positions:
Y 0.0000 0.0000 0.0000
Sc 0.2500 0.2500 0.2500
Al 0.1256 0.6248 0.6248
Al 0.6248 0.1256 0.6248
Al 0.6248 0.6248 0.1256
Al 0.6248 0.6248 0.6248

---

# 14
The following is a meta-GGA SCAN calculation of CeCuSi at its PBEsol-relaxed geometry, from Alexandria.

Summary:
Magnetization   0.337 μB per atom
Formation energy (no corrections)   -590 meV per atom

a = 4.0607 Å, b = 4.0607 Å, c = 3.9665 Å
α = 90.00°, β = 90.00°, γ = 120.00°
Fractional positions:
Ce 0.0000 0.0000 0.0000
Cu 0.6667 0.3333 0.5000
Si 0.3333 0.6667 0.5000

---

# 15
The following is a meta-GGA SCAN calculation of NiMo2Br at its PBEsol-relaxed geometry, from Alexandria.

Summary:
Magnetization   0.000 μB per atom
Formation energy (no corrections)   1018 meV per atom

a = 3.6744 Å, b = 3.6744 Å, c = 8.8446 Å
α = 90.00°, β = 90.00°, γ = 90.00°
Fractional positions:
Ni 0.0000 0.0000 0.0000
Ni 0.5000 0.5000 0.5000
Mo 0.0000 0.5000 0.2500
Mo 0.0000 0.5000 0.7500
Mo 0.5000 0.0000 0.2500
Mo 0.5000 0.0000 0.7500
Br 0.0000 0.0000 0.5000
Br 0.5000 0.5000 0.0000

---

# 16
The following is a meta-GGA SCAN calculation of ScAl2As at its PBEsol-relaxed geometry, from Alexandria.

Summary:
DFT formation energy   -0.272 eV per atom
Magnetization   0.000 μB per atom

a = 3.4754 Å, b = 3.4754 Å, c = 5.8684 Å
α = 90.00°, β = 90.00°, γ = 90.00°
Fractional positions:
Sc 0.0000 0.0000 0.0000
Al 0.5000 0.5000 0.2732
Al 0.5000 0.5000 0.7268
As 0.0000 0.0000 0.5000

---

# 17
The following is a meta-GGA SCAN calculation of SmZnRh at its PBEsol-relaxed geometry, from Alexandria.

Summary:
DFT formation energy   -0.763 eV per atom
Magnetization   0.000 μB per atom

a = 6.9155 Å, b = 4.0188 Å, c = 8.0726 Å
α = 90.00°, β = 90.00°, γ = 90.00°
Fractional positions:
Sm 0.0381 0.2500 0.1859
Sm 0.4619 0.7500 0.6859
Sm 0.5381 0.2500 0.3141
Sm 0.9619 0.7500 0.8141
Zn 0.1360 0.2500 0.5633
Zn 0.3640 0.7500 0.0633
Zn 0.6360 0.2500 0.9367
Zn 0.8640 0.7500 0.4367
Rh 0.2426 0.7500 0.3785
Rh 0.2574 0.2500 0.8785
Rh 0.7426 0.7500 0.1215
Rh 0.7574 0.2500 0.6215

---

# 18
The following is a meta-GGA SCAN calculation of Cr2SiSb at its PBEsol-relaxed geometry, from Alexandria.

Summary:
Magnetization   1.334 μB per atom
Formation energy (no corrections)   139 meV per atom

a = 3.5752 Å, b = 3.5752 Å, c = 18.0143 Å
α = 90.00°, β = 90.00°, γ = 120.00°
Fractional positions:
Cr 0.0000 0.0000 0.2341
Cr 0.0000 0.0000 0.7659
Cr 0.3333 0.6667 0.4326
Cr 0.3333 0.6667 0.9008
Cr 0.6667 0.3333 0.0992
Cr 0.6667 0.3333 0.5674
Si 0.0000 0.0000 0.5000
Si 0.3333 0.6667 0.1667
Si 0.6667 0.3333 0.8333
Sb 0.0000 0.0000 0.0000
Sb 0.3333 0.6667 0.6667
Sb 0.6667 0.3333 0.3333

---

# 19
The following is a meta-GGA SCAN calculation of Sb8Cl2O11 at its PBEsol-relaxed geometry, from Alexandria.

Summary:
Magnetization   0.000 μB per atom
Formation energy (no corrections)   -1283 meV per atom

a = 4.1147 Å, b = 8.8906 Å, c = 11.1730 Å
α = 81.46°, β = 87.84°, γ = 78.86°
Fractional positions:
Sb 0.1260 0.1470 0.0596
Sb 0.2267 0.4509 0.6426
Sb 0.2936 0.0478 0.6859
Sb 0.3253 0.4772 0.1390
Sb 0.6747 0.5228 0.8610
Sb 0.7064 0.9522 0.3141
Sb 0.7733 0.5491 0.3574
Sb 0.8740 0.8530 0.9404
Cl 0.1140 0.8073 0.4813
Cl 0.8860 0.1927 0.5187
O 0.0913 0.0003 0.2097
O 0.1768 0.5473 0.8009
O 0.2825 0.2451 0.7464
O 0.2915 0.5091 0.3120
O 0.4340 0.2475 0.1422
O 0.5000 0.0000 0.0000
O 0.5660 0.7525 0.8578
O 0.7085 0.4909 0.6880
O 0.7175 0.7549 0.2536
O 0.8232 0.4527 0.1991
O 0.9087 0.9997 0.7903

---

# 20
The following is a meta-GGA SCAN calculation of BaBi2Pt at its PBEsol-relaxed geometry, from Alexandria.

Summary:
DFT formation energy   -0.364 eV per atom
Magnetization   0.000 μB per atom

a = 5.3418 Å, b = 5.3418 Å, c = 19.1190 Å
α = 90.00°, β = 90.00°, γ = 90.00°
Fractional positions:
Ba 0.0000 0.0000 0.0000
Ba 0.0000 0.5000 0.2500
Ba 0.5000 0.0000 0.7500
Ba 0.5000 0.5000 0.5000
Bi 0.1305 0.2500 0.6250
Bi 0.2500 0.6305 0.8750
Bi 0.2500 0.8695 0.3750
Bi 0.3695 0.2500 0.1250
Bi 0.6305 0.7500 0.1250
Bi 0.7500 0.1305 0.3750
Bi 0.7500 0.3695 0.8750
Bi 0.8695 0.7500 0.6250
Pt 0.0000 0.0000 0.5000
Pt 0.0000 0.5000 0.7500
Pt 0.5000 0.0000 0.2500
Pt 0.5000 0.5000 0.0000

---

# 21
The following is a meta-GGA SCAN calculation of LiTi2Ni at its PBEsol-relaxed geometry, from Alexandria.

Summary:
DFT formation energy   -0.043 eV per atom
Magnetization   0.493 μB per atom

a = 6.0310 Å, b = 6.0310 Å, c = 6.0310 Å
α = 90.00°, β = 90.00°, γ = 90.00°
Fractional positions:
Li 0.0000 0.0000 0.0000
Li 0.0000 0.5000 0.5000
Li 0.5000 0.0000 0.5000
Li 0.5000 0.5000 0.0000
Ti 0.2500 0.2500 0.2500
Ti 0.2500 0.2500 0.7500
Ti 0.2500 0.7500 0.2500
Ti 0.2500 0.7500 0.7500
Ti 0.7500 0.2500 0.2500
Ti 0.7500 0.2500 0.7500
Ti 0.7500 0.7500 0.2500
Ti 0.7500 0.7500 0.7500
Ni 0.0000 0.0000 0.5000
Ni 0.0000 0.5000 0.0000
Ni 0.5000 0.0000 0.0000
Ni 0.5000 0.5000 0.5000

---

# 22
The following is a meta-GGA SCAN calculation of Be2FeBr at its PBEsol-relaxed geometry, from Alexandria.

Summary:
Magnetization   0.558 μB per atom
Formation energy (no corrections)   888 meV per atom

a = 3.4295 Å, b = 3.4295 Å, c = 8.0511 Å
α = 90.00°, β = 90.00°, γ = 90.00°
Fractional positions:
Be 0.0000 0.0000 0.0000
Be 0.0000 0.5000 0.2500
Be 0.5000 0.0000 0.7500
Be 0.5000 0.5000 0.5000
Fe 0.0000 0.5000 0.7500
Fe 0.5000 0.0000 0.2500
Br 0.0000 0.0000 0.5000
Br 0.5000 0.5000 0.0000

---

# 23
The following is a meta-GGA SCAN calculation of TaRuPb2 at its PBEsol-relaxed geometry, from Alexandria.

Summary:
DFT formation energy   0.669 eV per atom
Magnetization   0.000 μB per atom

a = 9.2407 Å, b = 3.1536 Å, c = 5.5127 Å
α = 90.00°, β = 103.37°, γ = 90.00°
Fractional positions:
Ta 0.0000 0.0000 0.0000
Ta 0.5000 0.5000 0.0000
Ru 0.0000 0.5000 0.5000
Ru 0.5000 0.0000 0.5000
Pb 0.2423 0.0000 0.7400
Pb 0.2577 0.5000 0.2600
Pb 0.7423 0.5000 0.7400
Pb 0.7577 0.0000 0.2600

---

# 24
The following is a meta-GGA SCAN calculation of Cu3Pt at its PBEsol-relaxed geometry, from Alexandria.

Summary:
DFT formation energy   -0.139 eV per atom
Magnetization   0.000 μB per atom

a = 5.1853 Å, b = 5.1853 Å, c = 4.2260 Å
α = 90.00°, β = 90.00°, γ = 120.00°
Fractional positions:
Cu 0.1639 0.3278 0.2500
Cu 0.1639 0.8361 0.2500
Cu 0.3278 0.1639 0.7500
Cu 0.6722 0.8361 0.2500
Cu 0.8361 0.1639 0.7500
Cu 0.8361 0.6722 0.7500
Pt 0.3333 0.6667 0.7500
Pt 0.6667 0.3333 0.2500

---

# 25
The following is a meta-GGA SCAN calculation of Ga2CoNi at its PBEsol-relaxed geometry, from Alexandria.

Summary:
DFT formation energy   -0.294 eV per atom
Magnetization   0.222 μB per atom

a = 2.8716 Å, b = 2.8716 Å, c = 5.6687 Å
α = 90.00°, β = 90.00°, γ = 90.00°
Fractional positions:
Ga 0.0000 0.0000 0.2464
Ga 0.0000 0.0000 0.7536
Co 0.5000 0.5000 0.0000
Ni 0.5000 0.5000 0.5000

---

# 26
The following is a meta-GGA SCAN calculation of YZn2Au at its PBEsol-relaxed geometry, from Alexandria.

Summary:
DFT formation energy   -0.574 eV per atom
Magnetization   0.000 μB per atom

a = 6.6107 Å, b = 6.6107 Å, c = 6.6107 Å
α = 90.00°, β = 90.00°, γ = 90.00°
Fractional positions:
Y 0.0000 0.0000 0.0000
Y 0.0000 0.5000 0.5000
Y 0.5000 0.0000 0.5000
Y 0.5000 0.5000 0.0000
Zn 0.0000 0.0000 0.5000
Zn 0.0000 0.5000 0.0000
Zn 0.2500 0.2500 0.7500
Zn 0.2500 0.7500 0.2500
Zn 0.5000 0.0000 0.0000
Zn 0.5000 0.5000 0.5000
Zn 0.7500 0.2500 0.2500
Zn 0.7500 0.7500 0.7500
Au 0.2500 0.2500 0.2500
Au 0.2500 0.7500 0.7500
Au 0.7500 0.2500 0.7500
Au 0.7500 0.7500 0.2500

---

# 27
The following is a meta-GGA SCAN calculation of Cr2HgSe at its PBEsol-relaxed geometry, from Alexandria.

Summary:
Magnetization   2.343 μB per atom
Formation energy (no corrections)   131 meV per atom

a = 6.6018 Å, b = 6.6018 Å, c = 6.6018 Å
α = 90.00°, β = 90.00°, γ = 90.00°
Fractional positions:
Cr 0.2500 0.2500 0.2500
Cr 0.2500 0.2500 0.7500
Cr 0.2500 0.7500 0.2500
Cr 0.2500 0.7500 0.7500
Cr 0.7500 0.2500 0.2500
Cr 0.7500 0.2500 0.7500
Cr 0.7500 0.7500 0.2500
Cr 0.7500 0.7500 0.7500
Hg 0.0000 0.0000 0.0000
Hg 0.0000 0.5000 0.5000
Hg 0.5000 0.0000 0.5000
Hg 0.5000 0.5000 0.0000
Se 0.0000 0.0000 0.5000
Se 0.0000 0.5000 0.0000
Se 0.5000 0.0000 0.0000
Se 0.5000 0.5000 0.5000